Model a:
Computed, not measured: a relaxed TaSb2Ir crystal at the PBE level of DFT.

Results
- total moment (μB per cell) = 0.0

Cell: 10.442 3.043 5.656 Å, 90.00 114.66 90.00°
Space group Cm (No. 8)
Unique sites:
1 Ta 0.000 0.000 0.000 x2
2 Sb 0.237 0.000 0.859 x2
3 Sb 0.427 0.000 0.500 x2
4 Ir 0.176 0.500 0.401 x2

Model b:
Computed, not measured: a relaxed TaSb2Ir crystal at the PBE level of DFT.

Results
- total moment (μB per cell) = 0.0

Cell: 3.057 3.057 9.348 Å, 90.00 90.00 90.00°
Space group P4mm (No. 99)
Unique sites:
1 Ta 0.000 0.000 0.000 x1
2 Sb 0.000 0.000 0.392 x1
3 Sb 0.500 0.500 0.768 x1
4 Ir 0.500 0.500 0.191 x1

Model c:
Computed, not measured: a relaxed TaSb2Ir crystal at the PBE level of DFT.

Results
- total moment (μB per cell) = 0.0

Cell: 3.726 4.966 8.584 Å, 90.00 90.00 90.00°
Space group Immm (No. 71)
Unique sites:
1 Ta 0.000 0.000 0.000 x2
2 Sb 0.000 0.500 0.225 x4
3 Ir 0.000 0.000 0.500 x2

Stability, highest: model b

Model a:
Computed, not measured: a relaxed TaSb2TeIr crystal at the PBE level of DFT.

Results
- total moment (μB per cell) = 0.0

Cell: 5.054 5.054 5.258 Å, 90.00 90.00 90.00°
Space group P4/mmm (No. 123)
Unique sites:
1 Ta 0.000 0.000 0.000 x1
2 Sb 0.000 0.500 0.500 x2
3 Te 0.500 0.500 0.000 x1
4 Ir 0.500 0.500 0.500 x1

Model b:
Computed, not measured: a relaxed TaSb2TeIr crystal at the PBE level of DFT.

Results
- total moment (μB per cell) = 0.8

Cell: 5.282 5.282 5.210 Å, 90.00 90.00 90.00°
Space group P4/mmm (No. 123)
Unique sites:
1 Ta 0.000 0.000 0.000 x1
2 Sb 0.000 0.500 0.000 x2
3 Te 0.000 0.000 0.500 x1
4 Ir 0.500 0.500 0.500 x1

Stability, highest: model a

Model a:
Computed, not measured: a relaxed TcSbIr crystal at the PBE level of DFT.

Results
- total moment (μB per cell) = 0.0

Cell: 2.999 2.999 11.593 Å, 90.00 90.00 90.00°
Space group I4mm (No. 107)
Unique sites:
1 Tc 0.000 0.000 0.000 x2
2 Sb 0.000 0.000 0.677 x2
3 Ir 0.000 0.000 0.364 x2

Model b:
Computed, not measured: a relaxed TcSbIr crystal at the PBE level of DFT.

Results
- total moment (μB per cell) = 0.0

Cell: 2.972 4.064 8.337 Å, 90.00 90.00 90.00°
Space group Imm2 (No. 44)
Unique sites:
1 Tc 0.000 0.000 0.000 x2
2 Sb 0.000 0.000 0.322 x2
3 Ir 0.000 0.000 0.644 x2

Stability, highest: model a

Model a:
Computed, not measured: a relaxed TcSbIr crystal at the PBE level of DFT.

Results
- total moment (μB per cell) = 0.0

Cell: 6.142 6.142 6.142 Å, 90.00 90.00 90.00°
Space group F-43m (No. 216)
Unique sites:
1 Tc 0.000 0.000 0.000 x4
2 Sb 0.250 0.250 0.250 x4
3 Ir 0.250 0.250 0.750 x4

Model b:
Computed, not measured: a relaxed TcSbIr crystal at the PBE level of DFT.

Results
- total moment (μB per cell) = 1.0

Cell: 4.4420 4.4420 2.9750 Å, 90.00 90.00 120.00°
Space group P3m1 (No. 156)
Unique sites:
1 Tc 0.0000 0.0000 0.0000 x1
2 Sb 0.6667 0.3333 0.6612 x1
3 Ir 0.3333 0.6667 0.4795 x1

Stability, highest: model a

Model a:
Computed, not measured: a relaxed Tc2Sb2Ir crystal at the PBE level of DFT.

Results
- total moment (μB per cell) = 0.4

Cell: 7.336 7.336 3.294 Å, 90.00 90.00 90.00°
Space group P4/mbm (No. 127)
Unique sites:
1 Tc 0.133 0.367 0.000 x4
2 Sb 0.167 0.667 0.500 x4
3 Ir 0.000 0.000 0.000 x2

Model b:
Computed, not measured: a relaxed Tc2Sb2Ir crystal at the PBE level of DFT.

Results
- total moment (μB per cell) = 0.0

Cell: 4.089 4.089 11.681 Å, 90.00 90.00 90.00°
Space group I4/mmm (No. 139)
Unique sites:
1 Tc 0.000 0.000 0.100 x4
2 Sb 0.000 0.500 0.250 x4
3 Ir 0.000 0.000 0.500 x2

Stability, highest: model a

Model a:
Computed, not measured: a relaxed TcSb2TeIr crystal at the PBE level of DFT.

Results
- total moment (μB per cell) = 3.0

Cell: 5.068 5.068 5.441 Å, 90.00 90.00 90.00°
Space group P4/mmm (No. 123)
Unique sites:
1 Tc 0.000 0.000 0.000 x1
2 Sb 0.000 0.500 0.500 x2
3 Te 0.500 0.500 0.000 x1
4 Ir 0.500 0.500 0.500 x1

Model b:
Computed, not measured: a relaxed TcSb2TeIr crystal at the PBE level of DFT.

Results
- total moment (μB per cell) = 0.0

Cell: 5.043 5.043 5.062 Å, 90.00 90.00 90.00°
Space group P4/mmm (No. 123)
Unique sites:
1 Tc 0.000 0.000 0.000 x1
2 Sb 0.000 0.500 0.000 x2
3 Te 0.000 0.000 0.500 x1
4 Ir 0.500 0.500 0.500 x1

Stability, highest: model b